No. 1
NaV2Co2: optimized geometry, GGA-PBE.

Output
Calculated formation energy in eV/atom: 0.238
SG: P4/mbm, No. 127
Excess energy over the best structure of this formula in the dataset in eV/atom: 0.011
N(E_F) in states/eV per atom: 1.055

```
NaV2Co2
1.0
-4.953 2.920 4.540
4.493 -1.186 5.664
1.038 2.294 -0.343
V Na Co
4 2 4
Cartesian
2.083 0.023 6.455
-2.543 1.711 3.749
-1.337 1.732 7.535
0.878 0.002 2.669
-0.230 0.867 5.102
0.000 0.000 0.000
2.700 0.803 4.123
-2.121 3.226 5.738
1.182 2.010 7.601
-0.603 2.019 2.260
```


No. 2
CrFe7: optimized geometry, GGA-PBE.

Output
Calculated formation energy in eV/atom: 0.081
SG: Fm-3m, No. 225
Excess energy over the best structure of this formula in the dataset in eV/atom: 0.080
N(E_F) in states/eV per atom: 1.190

```
CrFe7
1.0
0.000 3.522 3.522
3.522 0.000 3.522
3.522 3.522 0.000
Fe Cr
7 1
Cartesian
3.522 1.761 1.761
3.522 3.522 3.522
1.761 0.000 1.761
0.000 1.761 1.761
1.761 3.522 1.761
1.761 1.761 3.522
1.761 1.761 0.000
0.000 0.000 0.000
```


No. 3
In2AgIr: optimized geometry, GGA-PBE.

Output
Calculated formation energy in eV/atom: 0.070
SG: R3m, No. 160
N(E_F) in states/eV per atom: 0.461

```
In2AgIr
1.0
-1.034 -0.106 4.228
2.457 -2.271 2.786
3.446 3.445 3.170
Ag In Ir
1 2 1
Cartesian
2.512 0.645 5.114
2.840 2.581 3.000
1.064 0.049 2.503
4.334 1.774 7.829
```